No. 1
# KTlTc2

A relaxed structure of KTlTc2 (PBE, Alexandria).

The structure in CIF format:
```
data_KTlTc2
_chemical_formula_sum 'K4 Tl4 Tc8'
_space_group_name_H-M_alt 'F -4 3 m'
_space_group_IT_number 216
_space_group_name_Hall 'F -4 2 3'
_cell_length_a 6.793
_cell_length_b 6.793
_cell_length_c 6.793
_cell_angle_alpha 90.00
_cell_angle_beta 90.00
_cell_angle_gamma 90.00
loop_
_atom_site_label
_atom_site_type_symbol
_atom_site_fract_x
_atom_site_fract_y
_atom_site_fract_z
_atom_site_occupancy
K1 K 0.000 0.000 0.000 1
Tl1 Tl 0.250 0.250 0.750 1
Tc1 Tc 0.000 0.000 0.500 1
Tc2 Tc 0.250 0.250 0.250 1
```

calculated volume	78.4	Å³/f.u.
E_form	1245	meV per atom
polymorph energy (0 for the lowest one)	759.9	meV per atom



No. 2
# Na2RhBr

A relaxed structure of Na2RhBr (PBE, Alexandria).

The structure in CIF format:
```
data_Na2RhBr
_chemical_formula_sum 'Na8 Rh4 Br4'
_space_group_name_H-M_alt 'I -4 2 d'
_space_group_IT_number 122
_space_group_name_Hall 'I -4 2bw'
_cell_length_a 8.000
_cell_length_b 8.000
_cell_length_c 5.375
_cell_angle_alpha 90.00
_cell_angle_beta 90.00
_cell_angle_gamma 90.00
loop_
_atom_site_label
_atom_site_type_symbol
_atom_site_fract_x
_atom_site_fract_y
_atom_site_fract_z
_atom_site_occupancy
Na1 Na 0.247 0.750 0.125 1
Rh1 Rh 0.000 0.000 0.500 1
Br1 Br 0.000 0.000 0.000 1
```

calculated volume	86.0	Å³/f.u.
polymorph energy (0 for the lowest one)	0.0	meV per atom



No. 3
# Pa2Ga8Fe

A relaxed structure of Pa2Ga8Fe (PBE, Alexandria).

The structure in CIF format:
```
data_Pa2Ga8Fe
_chemical_formula_sum 'Pa2 Ga8 Fe1'
_space_group_name_H-M_alt 'P 4/m m m'
_space_group_IT_number 123
_space_group_name_Hall '-P 4 2'
_cell_length_a 4.286
_cell_length_b 4.286
_cell_length_c 11.088
_cell_angle_alpha 90.00
_cell_angle_beta 90.00
_cell_angle_gamma 90.00
loop_
_atom_site_label
_atom_site_type_symbol
_atom_site_fract_x
_atom_site_fract_y
_atom_site_fract_z
_atom_site_occupancy
Pa1 Pa 0.000 0.000 0.197 1
Ga1 Ga 0.000 0.500 0.000 1
Ga2 Ga 0.000 0.500 0.385 1
Ga3 Ga 0.500 0.500 0.195 1
Fe1 Fe 0.000 0.000 0.500 1
```

calculated volume	203.7	Å³/f.u.
E_form	-361	meV per atom



No. 4
# SrPb5

A relaxed structure of SrPb5 (PBE, Alexandria).

The structure in CIF format:
```
data_SrPb5
_chemical_formula_sum 'Sr2 Pb10'
_space_group_name_H-M_alt 'C 1 2/m 1'
_space_group_IT_number 12
_space_group_name_Hall '-C 2y'
_cell_length_a 11.308
_cell_length_b 5.054
_cell_length_c 7.141
_cell_angle_alpha 90.00
_cell_angle_beta 108.25
_cell_angle_gamma 90.00
loop_
_atom_site_label
_atom_site_type_symbol
_atom_site_fract_x
_atom_site_fract_y
_atom_site_fract_z
_atom_site_occupancy
Sr1 Sr 0.000 0.000 0.000 1
Pb1 Pb 0.000 0.000 0.500 1
Pb2 Pb 0.166 0.500 0.830 1
Pb3 Pb 0.176 0.500 0.344 1
```

calculated volume	193.8	Å³/f.u.
E_form	-183	meV per atom
polymorph energy (0 for the lowest one)	12.3	meV per atom



No. 5
# IrOs3

A relaxed structure of IrOs3 (PBE, Alexandria).

The structure in CIF format:
```
data_IrOs3
_chemical_formula_sum 'Ir3 Os9'
_space_group_name_H-M_alt 'R -3 m'
_space_group_IT_number 166
_space_group_name_Hall '-R 3 2"'
_cell_length_a 8.7597
_cell_length_b 8.7597
_cell_length_c 2.6822
_cell_angle_alpha 90.00
_cell_angle_beta 90.00
_cell_angle_gamma 120.00
loop_
_atom_site_label
_atom_site_type_symbol
_atom_site_fract_x
_atom_site_fract_y
_atom_site_fract_z
_atom_site_occupancy
Ir1 Ir 0.0000 0.0000 0.0000 1
Os1 Os 0.0000 0.5000 0.0000 1
```

calculated volume	59.4	Å³/f.u.
E_form	837	meV per atom



No. 6
# Nd4Y7Th

A relaxed structure of Nd4Y7Th (PBE, Alexandria).

The structure in CIF format:
```
data_Nd4Y7Th
_chemical_formula_sum 'Nd4 Y7 Th1'
_space_group_name_H-M_alt 'P -1'
_space_group_IT_number 2
_space_group_name_Hall '-P 1'
_cell_length_a 6.673
_cell_length_b 6.944
_cell_length_c 9.077
_cell_angle_alpha 83.67
_cell_angle_beta 77.29
_cell_angle_gamma 80.66
loop_
_atom_site_label
_atom_site_type_symbol
_atom_site_fract_x
_atom_site_fract_y
_atom_site_fract_z
_atom_site_occupancy
Nd1 Nd 0.142 0.305 0.288 1
Nd2 Nd 0.334 0.884 0.689 1
Y1 Y 0.012 0.253 0.956 1
Y2 Y 0.178 0.795 0.353 1
Y3 Y 0.316 0.396 0.624 1
Y4 Y 0.500 0.000 0.000 1
Th1 Th 0.500 0.500 0.000 1
```

calculated volume	403.7	Å³/f.u.
E_form	94	meV per atom
polymorph energy (0 for the lowest one)	0.0	meV per atom



No. 7
# PmNi3Pt

A relaxed structure of PmNi3Pt (PBE, Alexandria).

The structure in CIF format:
```
data_PmNi3Pt
_chemical_formula_sum 'Pm4 Ni12 Pt4'
_space_group_name_H-M_alt 'I m m a'
_space_group_IT_number 74
_space_group_name_Hall '-I 2b 2'
_cell_length_a 4.743
_cell_length_b 8.013
_cell_length_c 8.842
_cell_angle_alpha 90.00
_cell_angle_beta 90.00
_cell_angle_gamma 90.00
loop_
_atom_site_label
_atom_site_type_symbol
_atom_site_fract_x
_atom_site_fract_y
_atom_site_fract_z
_atom_site_occupancy
Pm1 Pm 0.000 0.250 0.030 1
Ni1 Ni 0.000 0.250 0.682 1
Ni2 Ni 0.250 0.001 0.750 1
Pt1 Pt 0.000 0.000 0.500 1
```

calculated volume	84.0	Å³/f.u.
E_form	-399	meV per atom



No. 8
# CaMoN3

A relaxed structure of CaMoN3 (PBE, Alexandria).

The structure in CIF format:
```
data_CaMoN3
_chemical_formula_sum 'Ca2 Mo2 N6'
_space_group_name_H-M_alt 'P 1'
_space_group_IT_number 1
_space_group_name_Hall 'P 1'
_cell_length_a 3.246
_cell_length_b 6.422
_cell_length_c 7.336
_cell_angle_alpha 91.42
_cell_angle_beta 100.73
_cell_angle_gamma 103.89
loop_
_atom_site_label
_atom_site_type_symbol
_atom_site_fract_x
_atom_site_fract_y
_atom_site_fract_z
_atom_site_occupancy
Ca1 Ca 0.000 0.000 0.000 1
Ca2 Ca 0.090 0.412 0.741 1
Mo1 Mo 0.323 0.870 0.612 1
Mo2 Mo 0.408 0.555 0.274 1
N1 N 0.239 0.384 0.072 1
N2 N 0.461 0.122 0.754 1
N3 N 0.524 0.865 0.217 1
N4 N 0.584 0.935 0.396 1
N5 N 0.765 0.727 0.740 1
N6 N 0.957 0.523 0.415 1
```

calculated volume	72.7	Å³/f.u.
E_tot	-80.3	eV/cell



No. 9
# RbTaTi2Zn

A relaxed structure of RbTaTi2Zn (PBE, Alexandria).

The structure in CIF format:
```
data_RbTaTi2Zn
_chemical_formula_sum 'Rb1 Ta1 Ti2 Zn1'
_space_group_name_H-M_alt 'P 4/m m m'
_space_group_IT_number 123
_space_group_name_Hall '-P 4 2'
_cell_length_a 5.045
_cell_length_b 5.045
_cell_length_c 4.999
_cell_angle_alpha 90.00
_cell_angle_beta 90.00
_cell_angle_gamma 90.00
loop_
_atom_site_label
_atom_site_type_symbol
_atom_site_fract_x
_atom_site_fract_y
_atom_site_fract_z
_atom_site_occupancy
Rb1 Rb 0.000 0.000 0.000 1
Ta1 Ta 0.500 0.500 0.000 1
Ti1 Ti 0.000 0.500 0.500 1
Zn1 Zn 0.500 0.500 0.500 1
```

calculated volume	127.2	Å³/f.u.
E_form	1430	meV per atom



No. 10
# Ac2Cr2C2N

A relaxed structure of Ac2Cr2C2N (PBE, Alexandria).

The structure in CIF format:
```
data_Ac2Cr2C2N
_chemical_formula_sum 'Ac4 Cr4 C4 N2'
_space_group_name_H-M_alt 'C 1 2/m 1'
_space_group_IT_number 12
_space_group_name_Hall '-C 2y'
_cell_length_a 10.587
_cell_length_b 3.540
_cell_length_c 6.901
_cell_angle_alpha 90.00
_cell_angle_beta 122.37
_cell_angle_gamma 90.00
loop_
_atom_site_label
_atom_site_type_symbol
_atom_site_fract_x
_atom_site_fract_y
_atom_site_fract_z
_atom_site_occupancy
Ac1 Ac 0.071 0.000 0.330 1
Cr1 Cr 0.198 0.500 0.074 1
C1 C 0.204 0.500 0.787 1
N1 N 0.000 0.500 0.000 1
```

calculated volume	109.2	Å³/f.u.
E_tot	-112.3	eV/cell



No. 11
# AcPm2Ga4

A relaxed structure of AcPm2Ga4 (PBE, Alexandria).

The structure in CIF format:
```
data_AcPm2Ga4
_chemical_formula_sum 'Ac2 Pm4 Ga8'
_space_group_name_H-M_alt 'I m m m'
_space_group_IT_number 71
_space_group_name_Hall '-I 2 2'
_cell_length_a 4.286
_cell_length_b 4.543
_cell_length_c 18.842
_cell_angle_alpha 90.00
_cell_angle_beta 90.00
_cell_angle_gamma 90.00
loop_
_atom_site_label
_atom_site_type_symbol
_atom_site_fract_x
_atom_site_fract_y
_atom_site_fract_z
_atom_site_occupancy
Ac1 Ac 0.000 0.000 0.000 1
Pm1 Pm 0.000 0.500 0.315 1
Ga1 Ga 0.000 0.000 0.431 1
Ga2 Ga 0.000 0.500 0.148 1
```

calculated volume	183.5	Å³/f.u.
E_form	-617	meV per atom



No. 12
# KNa2MgGe

A relaxed structure of KNa2MgGe (PBE, Alexandria).

The structure in CIF format:
```
data_KNa2MgGe
_chemical_formula_sum 'K1 Na2 Mg1 Ge1'
_space_group_name_H-M_alt 'P 4/m m m'
_space_group_IT_number 123
_space_group_name_Hall '-P 4 2'
_cell_length_a 5.846
_cell_length_b 5.846
_cell_length_c 5.243
_cell_angle_alpha 90.00
_cell_angle_beta 90.00
_cell_angle_gamma 90.00
loop_
_atom_site_label
_atom_site_type_symbol
_atom_site_fract_x
_atom_site_fract_y
_atom_site_fract_z
_atom_site_occupancy
K1 K 0.000 0.000 0.000 1
Na1 Na 0.000 0.500 0.500 1
Mg1 Mg 0.500 0.500 0.000 1
Ge1 Ge 0.500 0.500 0.500 1
```

calculated volume	179.2	Å³/f.u.
E_form	-3	meV per atom